A plane-wave DFT calculation with PBE was carried out for HoInHgGe after structural relaxation. Values from VASP.

The structure in Quantum ESPRESSO input format:
```
&SYSTEM
  ibrav = 0, nat = 4, ntyp = 4
/
ATOMIC_SPECIES
Ho 164.93 Ho.upf
In 114.82 In.upf
Hg 200.59 Hg.upf
Ge 72.64 Ge.upf
CELL_PARAMETERS angstrom
0.0000 3.6277 3.6277
3.6277 0.0000 3.6277
3.6277 3.6277 0.0000
ATOMIC_POSITIONS angstrom
Ho 0.0000 0.0000 0.0000
In 3.6277 3.6277 3.6277
Hg 5.4415 5.4415 5.4415
Ge 1.8138 1.8138 1.8138
```

- final energy (Ha/atom) = -0.12059
- calculated volume (Å³ per atom) = 23.9
- space group = F-43m (216)